VASP calculation (PBE) on crystalline CsSr2S2 at its relaxed geometry.

Results
final energy	-0.145	Ha/atom
raw formation energy	-1445	meV/atom
N(E_F)	3.357	states/eV/cell
relative energy among the computed polymorphs	0.000	eV per formula unit

Cell lengths 5.6068, 5.6068, 12.9470 Å; angles 90.00, 90.00, 90.00 degrees
Last column: nearest neighbours and their distance in Å.
Space group I4/mmm (No. 139)
Inequivalent atoms, fractional coordinates:
Cs: 0.0000 0.0000 0.0000 (multiplicity 2)  2 Sr 4.07, 8 S 4.28
Sr: 0.0000 0.0000 0.3145 (multiplicity 4)  4 S 2.92
S: 0.0000 0.5000 0.2500 (multiplicity 4)  4 Sr 2.92

VASP calculation (PBE) on crystalline Cs2SrTaS4 at its relaxed geometry.

Results
final energy	-0.189	Ha/atom
raw formation energy	-1182	meV/atom
N(E_F)	28.649	states/eV/cell

Cell lengths 7.0505, 14.7072, 26.1339 Å; angles 90.00, 90.00, 90.00 degrees
Last column: nearest neighbours and their distance in Å.
Space group Fddd (No. 70, origin choice 2)
Inequivalent atoms, fractional coordinates:
Cs: 0.1250 0.1250 0.3069 (multiplicity 16)  6 S 3.86-4.32
Sr: 0.1250 0.1250 0.1250 (multiplicity 8)  4 S 2.87
Ta: 0.1250 0.1250 0.6250 (multiplicity 8)  4 S 2.32
S: 0.0672 0.2816 0.8258 (multiplicity 32)  1 Ta 2.32

VASP calculation (PBE) on crystalline Cs2Sr2TaS6 at its relaxed geometry.

Results
final energy	-0.189	Ha/atom
raw formation energy	-1340	meV/atom
N(E_F)	28.106	states/eV/cell

Cell lengths 7.2856, 12.2567, 8.4990 Å; angles 90.00, 107.15, 90.00 degrees
Last column: nearest neighbours and their distance in Å.
Space group C2/m (No. 12)
Inequivalent atoms, fractional coordinates:
Cs: 0.0000 0.1748 0.0000 (multiplicity 4)  6 S 3.46-3.71
Sr: 0.0000 0.3360 0.5000 (multiplicity 4)  6 S 2.96-2.99
Ta: 0.0000 0.0000 0.5000 (multiplicity 2)  6 S 2.48-2.49
S: 0.2032 0.1419 0.6774 (multiplicity 8)  1 Ta 2.48
S: 0.2160 0.0000 0.3216 (multiplicity 4)  1 Ta 2.49

VASP calculation (PBE) on crystalline CsSrTc2S at its relaxed geometry.

Results
final energy	-0.125	Ha/atom
raw formation energy	2087	meV/atom
N(E_F)	3.768	states/eV/cell

Cell lengths 4.8940, 4.8940, 7.0246 Å; angles 90.00, 90.00, 90.00 degrees
Last column: nearest neighbours and their distance in Å.
Space group P4/mmm (No. 123)
Inequivalent atoms, fractional coordinates:
Cs: 0.0000 0.0000 0.0000 (multiplicity 1)  4 Tc 2.45
Sr: 0.0000 0.0000 0.5000 (multiplicity 1)  4 S 3.46, 2 Cs 3.51
Tc: 0.0000 0.5000 0.0000 (multiplicity 2)  2 Cs 2.45
S: 0.5000 0.5000 0.5000 (multiplicity 1)  4 Sr 3.46